NaInCoF6 | PBE with a Hubbard U | optimized geometry

Values from the calculation:
- SG = No. 163
- total energy (eV for the cell shown) = -85.056

a b c (Å): 5.544 5.544 9.698
angles (deg): 90.00 90.00 120.00
Positions (direct):
F1 0.648 0.006 0.862
F2 0.352 0.359 0.362
F3 0.006 0.648 0.362
F4 0.648 0.641 0.638
F5 0.994 0.352 0.638
F6 0.641 0.648 0.138
F7 0.359 0.352 0.862
F8 0.359 0.006 0.638
F9 0.006 0.359 0.138
F10 0.641 0.994 0.362
F11 0.994 0.641 0.862
F12 0.352 0.994 0.138
Na1 0.000 0.000 0.000
Na2 0.000 0.000 0.500
Co1 0.667 0.333 0.750
Co2 0.333 0.667 0.250
In1 0.333 0.667 0.750
In2 0.667 0.333 0.250